Record 1
## PbSe3 (PBE)

Data for an optimized crystal structure of PbSe3.

Structure (POSCAR):
```
PbSe3
1.0
8.4241 0.0000 0.0000
-4.2121 7.2955 0.0000
0.0000 0.0000 5.1997
Pb Se
3 9
Direct
0.0000 0.0000 0.0000 Pb
0.3333 0.6667 0.6667 Pb
0.6667 0.3333 0.3333 Pb
0.0000 0.5000 0.0000 Se
0.1667 0.3333 0.3333 Se
0.1667 0.8333 0.3333 Se
0.3333 0.1667 0.6667 Se
0.5000 0.0000 0.0000 Se
0.5000 0.5000 0.0000 Se
0.6667 0.8333 0.3333 Se
0.8333 0.1667 0.6667 Se
0.8333 0.6667 0.6667 Se
```

energy relative to the elements, uncorrected	-0.06	eV/atom
symmetry	R-3m


Record 2
## PmEr4Zn4 (PBE)

Data for an optimized crystal structure of PmEr4Zn4.

Structure (POSCAR):
```
PmEr4Zn4
1.0
-4.7209 4.7209 2.5323
4.7209 -4.7209 2.5323
4.7209 4.7209 -2.5323
Pm Er Zn
1 4 4
Direct
0.0000 0.0000 0.0000 Pm
0.1070 0.6501 0.7570 Er
0.3499 0.1070 0.4569 Er
0.6501 0.8930 0.5431 Er
0.8930 0.3499 0.2430 Er
0.3165 0.4203 0.7368 Zn
0.4203 0.6835 0.1038 Zn
0.5797 0.3165 0.8962 Zn
0.6835 0.5797 0.2632 Zn
```

symmetry	I4/m
formation energy from the elements	-139.5	meV/atom


| no. | DOS(E_F) (states/eV/cell) | calculated total energy (eV/cell) |
| --- | --- | --- |
| 1 | 18.230 | -43.2 |
| 2 | 8.040 | -29.4 |